Entry 1:
18
Lattice="3.8088 2.1990 5.5681 -3.8088 2.1990 5.5681 0.0000 -4.3980 5.5681" Properties=species:S:1:pos:R:3 comment="K2AcCo3F12 | the Alexandria database | PBE with a Hubbard U | optimized geometry" magmom_total_mub_per_fu=10.00 e_tot_ev_per_atom=-5.16 spacegroup="No. 166" pbc="T T T"
K 0.0000 0.0000 1.9257
K 0.0000 0.0000 14.7786
Ac 0.0000 0.0000 8.3522
Co -1.9044 -1.0995 5.5681
Co -1.9044 1.0995 11.1362
Co 0.0000 2.1990 5.5681
F -2.1044 -1.2150 7.5165
F 0.0000 -1.6346 6.0029
F -1.4156 0.8173 6.0029
F 0.0000 -2.4300 9.1878
F -2.1044 1.2150 9.1878
F -1.4156 -0.8173 10.7014
F 1.4156 0.8173 6.0029
F 2.1044 -1.2150 7.5165
F 0.0000 2.4300 7.5165
F 1.4156 -0.8173 10.7014
F 0.0000 1.6346 10.7014
F 2.1044 1.2150 9.1878

Entry 2:
12
Lattice="4.4517 0.0000 0.0000 0.0000 7.5178 0.0000 -0.5741 0.0000 6.0432" Properties=species:S:1:pos:R:3 comment="K2AcCoF8 | the Alexandria database | PBE with a Hubbard U | optimized geometry" magmom_total_mub_per_fu=3.99 e_tot_ev_per_atom=-5.16 spacegroup="No. 10" pbc="T T T"
K 0.0000 1.6982 0.0000
K 0.0000 5.8196 0.0000
Ac 1.9388 3.7589 3.0216
Co 1.9388 0.0000 3.0216
F -0.0992 3.7589 1.6483
F 0.4526 0.0000 1.9765
F 1.4373 1.5977 4.2329
F 1.4373 5.9201 4.2329
F 2.4403 1.5977 1.8103
F 2.4403 5.9201 1.8103
F 3.4250 0.0000 4.0667
F 3.9768 3.7589 4.3950

Entry 3:
12
Lattice="4.3357 0.0000 0.0000 -0.0546 4.9143 0.0000 -0.1164 -0.8660 7.3672" Properties=species:S:1:pos:R:3 comment="Li2AcCoF8 | the Alexandria database | PBE with a Hubbard U | optimized geometry" magmom_total_mub_per_fu=2.05 e_tot_ev_per_atom=-5.26 spacegroup="No. 2" pbc="T T T"
Li 0.1064 2.0469 2.3111
Li 4.0583 2.0015 5.0561
Ac 2.1679 0.0000 0.0000
Co 2.1096 -0.4330 3.6836
F 0.1521 1.2291 0.5578
F 0.7183 0.7805 3.7809
F 1.3896 3.4839 1.9420
F 1.3671 3.3377 4.9766
F 2.7975 0.7106 2.3907
F 2.7751 0.5645 5.4252
F 3.4464 3.2679 3.5864
F 4.0126 2.8193 6.8095

Entry 4:
12
Lattice="4.4027 0.0000 0.0000 -0.2248 5.4214 0.0000 -0.1993 -0.0648 7.3344" Properties=species:S:1:pos:R:3 comment="Na2AcCoF8 | the Alexandria database | PBE with a Hubbard U | optimized geometry" magmom_total_mub_per_fu=2.03 e_tot_ev_per_atom=-5.13 spacegroup="No. 2" pbc="T T T"
Na 0.0433 0.0642 2.0105
Na 3.9354 5.2924 5.3239
Ac 2.0890 2.7107 0.0000
Co 1.9893 2.6783 3.6672
F -0.1334 1.2853 7.2669
F 0.5652 1.5499 3.7279
F 1.3487 3.7061 2.2215
F 1.4440 3.9751 5.3000
F 2.5347 1.3815 2.0344
F 2.6300 1.6504 5.1129
F 3.4135 3.8066 3.6066
F 4.1120 4.0712 0.0675

Repeat the third record exactly.
12
Lattice="4.3357 0.0000 0.0000 -0.0546 4.9143 0.0000 -0.1164 -0.8660 7.3672" Properties=species:S:1:pos:R:3 comment="Li2AcCoF8 | the Alexandria database | PBE with a Hubbard U | optimized geometry" magmom_total_mub_per_fu=2.05 e_tot_ev_per_atom=-5.26 spacegroup="No. 2" pbc="T T T"
Li 0.1064 2.0469 2.3111
Li 4.0583 2.0015 5.0561
Ac 2.1679 0.0000 0.0000
Co 2.1096 -0.4330 3.6836
F 0.1521 1.2291 0.5578
F 0.7183 0.7805 3.7809
F 1.3896 3.4839 1.9420
F 1.3671 3.3377 4.9766
F 2.7975 0.7106 2.3907
F 2.7751 0.5645 5.4252
F 3.4464 3.2679 3.5864
F 4.0126 2.8193 6.8095

Copy entry 2 word for word.
12
Lattice="4.4517 0.0000 0.0000 0.0000 7.5178 0.0000 -0.5741 0.0000 6.0432" Properties=species:S:1:pos:R:3 comment="K2AcCoF8 | the Alexandria database | PBE with a Hubbard U | optimized geometry" magmom_total_mub_per_fu=3.99 e_tot_ev_per_atom=-5.16 spacegroup="No. 10" pbc="T T T"
K 0.0000 1.6982 0.0000
K 0.0000 5.8196 0.0000
Ac 1.9388 3.7589 3.0216
Co 1.9388 0.0000 3.0216
F -0.0992 3.7589 1.6483
F 0.4526 0.0000 1.9765
F 1.4373 1.5977 4.2329
F 1.4373 5.9201 4.2329
F 2.4403 1.5977 1.8103
F 2.4403 5.9201 1.8103
F 3.4250 0.0000 4.0667
F 3.9768 3.7589 4.3950